Entry 1:
The following is a PBE-GGA calculation of an optimized crystal structure of NaLuSiO4, from the Alexandria database.

Lattice parameters (Å, degrees): 5.140 6.343 11.058 90.00 90.00 90.00
Positions (direct):
1 Na 0.500 0.500 0.500
2 Na 0.000 0.500 0.000
3 Na 0.500 0.000 0.500
4 Na 0.000 0.000 0.000
5 Lu 0.995 0.750 0.721
6 Lu 0.005 0.250 0.279
7 Lu 0.495 0.250 0.779
8 Lu 0.505 0.750 0.221
9 Si 0.557 0.750 0.898
10 Si 0.443 0.250 0.102
11 Si 0.057 0.250 0.602
12 Si 0.943 0.750 0.398
13 O 0.700 0.549 0.825
14 O 0.300 0.451 0.175
15 O 0.200 0.451 0.675
16 O 0.300 0.049 0.175
17 O 0.800 0.549 0.325
18 O 0.700 0.951 0.825
19 O 0.800 0.951 0.325
20 O 0.200 0.049 0.675
21 O 0.841 0.750 0.539
22 O 0.159 0.250 0.461
23 O 0.341 0.250 0.961
24 O 0.659 0.750 0.039
25 O 0.242 0.750 0.884
26 O 0.758 0.250 0.116
27 O 0.742 0.250 0.616
28 O 0.258 0.750 0.384

Calculated values
Space-group type: Pnma (62)
Volume in Å³/atom: 12.876
Spin magnetization in μB per cell: 0.00
VASP energy in eV per atom: -7.4431
DOS at the Fermi energy in states/eV/atom: 0.0000



Entry 2:
The following is a PBE-GGA calculation of an optimized crystal structure of NaLu2Os, from the Alexandria database.

Lattice parameters (Å, degrees): 3.343 3.343 9.345 90.00 90.00 90.00
Positions (direct):
1 Na 0.500 0.500 0.500
2 Lu 0.000 0.000 0.828
3 Lu 0.000 0.000 0.172
4 Os 0.500 0.500 0.000

Calculated values
Space-group type: P4/mmm (123)
Volume in Å³/atom: 26.107
Spin magnetization in μB per cell: 0.00
VASP energy in eV per atom: -5.6042
DOS at the Fermi energy in states/eV/atom: 0.4496
Energy of formation in eV per atom: -0.207



Entry 3:
The following is a PBE-GGA calculation of an optimized crystal structure of NaLu2P, from the Alexandria database.

Lattice parameters (Å, degrees): 3.710 3.710 10.350 79.68 79.68 60.00
Positions (direct):
1 P 0.500 0.500 0.500
2 Lu 0.114 0.114 0.657
3 Lu 0.886 0.886 0.343
4 Na 0.000 0.000 0.000

Calculated values
Space-group type: R-3m (166)
Volume in Å³/atom: 30.170
Spin magnetization in μB per cell: 0.00
VASP energy in eV per atom: -4.4688
DOS at the Fermi energy in states/eV/atom: 0.7307
Energy of formation in eV per atom: -0.526



Entry 4:
The following is a PBE-GGA calculation of an optimized crystal structure of NaLu2Pa, from the Alexandria database.

Lattice parameters (Å, degrees): 3.381 3.381 12.267 82.08 82.08 60.00
Positions (direct):
1 Na 0.000 0.000 0.000
2 Pa 0.500 0.500 0.500
3 Lu 0.094 0.094 0.718
4 Lu 0.906 0.906 0.282

Calculated values
Space-group type: R-3m (166)
Volume in Å³/atom: 29.967
Spin magnetization in μB per cell: 0.00
VASP energy in eV per atom: -4.7633
DOS at the Fermi energy in states/eV/atom: 1.1510
Energy of formation in eV per atom: 0.201